# Sm2IBr2N

Crystalline Sm2IBr2N at its relaxed geometry (PBE, OQMD via LeMat-Bulk).

The energy above the most stable polymorph in this dataset comes out at 8 meV/atom. The theoretical density comes out at 5.5 g cm⁻³.

It has space group C2/m (No. 12), with a = 18.700 Å, b = 4.013 Å, c = 11.774 Å, α = 90.00°, β = 124.40° and γ = 90.00°. Symmetry generates all atoms from Sm at (0.076, 0.000, 0.462), Sm at (0.134, 0.500, 0.787), I at (0.044, 0.500, 0.230), Br at (0.172, 0.000, 0.013), Br at (0.213, 0.500, 0.622) and N at (0.072, 0.000, 0.654).



# Sm2I2BrN

Crystalline Sm2I2BrN at its relaxed geometry (PBE, OQMD via LeMat-Bulk).

The energy above the most stable polymorph in this dataset comes out at 8 meV/atom. The theoretical density comes out at 5.5 g cm⁻³.

It has space group C2/m (No. 12), with a = 19.522 Å, b = 4.041 Å, c = 12.216 Å, α = 90.00°, β = 126.26° and γ = 90.00°. Symmetry generates all atoms from Sm at (0.072, 0.000, 0.461), Sm at (0.136, 0.500, 0.784), I at (0.036, 0.500, 0.233), I at (0.225, 0.500, 0.630), Br at (0.173, 0.000, 0.005) and N at (0.074, 0.000, 0.653).



# Sm4I3Br2N

Crystalline Sm4I3Br2N at its relaxed geometry (PBE, OQMD via LeMat-Bulk).

The raw total energy comes out at -4.9476 eV/atom. The theoretical density comes out at 6.2 g cm⁻³.

It has space group C2/m (No. 12), with a = 18.635 Å, b = 3.928 Å, c = 8.612 Å, α = 90.00°, β = 102.37° and γ = 90.00°. Symmetry generates all atoms from Sm at (0.001, 0.000, 0.308), Sm at (0.132, 0.500, 0.567), I at (0.000, 0.500, 0.000), I at (0.172, 0.000, 0.314), Br at (0.158, 0.000, 0.825) and N at (0.000, 0.500, 0.500).



# SmUI2BrN

Crystalline SmUI2BrN at its relaxed geometry (PBE, OQMD via LeMat-Bulk).

The raw total energy comes out at -6.1570 eV/atom. The theoretical density comes out at 6.4 g cm⁻³.

It has space group C2/m (No. 12), with a = 19.348 Å, b = 3.941 Å, c = 12.222 Å, α = 90.00°, β = 124.84° and γ = 90.00°. Symmetry generates all atoms from Sm at (0.074, 0.000, 0.464), U at (0.127, 0.500, 0.770), I at (0.046, 0.500, 0.240), I at (0.165, 0.000, 0.014), Br at (0.210, 0.500, 0.623) and N at (0.076, 0.000, 0.661).



# U2I2BrN

Crystalline U2I2BrN at its relaxed geometry (PBE, OQMD via LeMat-Bulk).

The raw total energy comes out at -6.9804 eV/atom. The theoretical density comes out at 7.4 g cm⁻³.

It has space group C2/m (No. 12), with a = 19.067 Å, b = 3.916 Å, c = 12.037 Å, α = 90.00°, β = 124.43° and γ = 90.00°. Symmetry generates all atoms from U at (0.071, 0.000, 0.463), U at (0.126, 0.500, 0.770), I at (0.046, 0.500, 0.237), I at (0.165, 0.000, 0.015), Br at (0.212, 0.500, 0.623) and N at (0.071, 0.000, 0.652).



# Zn2IBrN4

Crystalline Zn2IBrN4 at its relaxed geometry (PBE, OQMD via LeMat-Bulk).

The raw total energy comes out at -3.5933 eV/atom. The theoretical density comes out at 5.5 g cm⁻³.

It has space group I-4 (No. 82), with a = 4.684 Å, b = 4.684 Å, c = 10.886 Å, α = 90.00°, β = 90.00° and γ = 90.00°. Symmetry generates all atoms from Zn at (0.000, 0.000, 0.000), Zn at (0.000, 0.500, 0.250), I at (0.000, 0.000, 0.500), Br at (0.000, 0.500, 0.750) and N at (0.183, 0.702, 0.401).



# Zr2IBrN

Crystalline Zr2IBrN at its relaxed geometry (PBE, OQMD via LeMat-Bulk).

The raw total energy comes out at -6.9830 eV/atom. The theoretical density comes out at 6.1 g cm⁻³.

It has space group P3m1 (No. 156), with a = 3.5734 Å, b = 3.5734 Å, c = 9.8870 Å, α = 90.00°, β = 90.00° and γ = 120.00°. Symmetry generates all atoms from Zr at (0.0000, 0.0000, 0.0000), Zr at (0.3333, 0.6667, 0.2214), I at (0.3333, 0.6667, 0.7830), Br at (0.0000, 0.0000, 0.4166) and N at (0.6667, 0.3333, 0.1123).



# NbI2BrO

Crystalline NbI2BrO at its relaxed geometry (PBE, OQMD via LeMat-Bulk).

The raw total energy comes out at -5.0856 eV/atom. The theoretical density comes out at 4.5 g cm⁻³.

It has space group C2/m (No. 12), with a = 15.057 Å, b = 3.903 Å, c = 13.107 Å, α = 90.00°, β = 121.15° and γ = 90.00°. Symmetry generates all atoms from Nb at (0.125, 0.000, 0.194), I at (0.102, 0.000, 0.958), I at (0.104, 0.000, 0.384), Br at (0.185, 0.500, 0.716) and O at (0.118, 0.500, 0.183).



# NbI2BrO

Crystalline NbI2BrO at its relaxed geometry (PBE, OQMD via LeMat-Bulk).

The raw total energy comes out at -5.0870 eV/atom. The theoretical density comes out at 4.6 g cm⁻³.

It has space group C2 (No. 5), with a = 14.533 Å, b = 3.988 Å, c = 12.712 Å, α = 90.00°, β = 120.61° and γ = 90.00°. Symmetry generates all atoms from Nb at (0.129, 0.000, 0.199), I at (0.103, 0.059, 0.955), I at (0.106, 0.052, 0.395), Br at (0.176, 0.552, 0.714) and O at (0.122, 0.543, 0.190).



# NbI2BrO

Crystalline NbI2BrO at its relaxed geometry (PBE, OQMD via LeMat-Bulk).

The raw total energy comes out at -5.0863 eV/atom. The theoretical density comes out at 4.7 g cm⁻³.

It has space group C2 (No. 5), with a = 14.756 Å, b = 3.966 Å, c = 12.566 Å, α = 90.00°, β = 121.06° and γ = 90.00°. Symmetry generates all atoms from Nb at (0.119, 0.000, 0.188), I at (0.108, 0.046, 0.394), I at (0.171, 0.546, 0.715), Br at (0.094, 0.052, 0.957) and O at (0.114, 0.538, 0.180).



# NbIBrO

Crystalline NbIBrO at its relaxed geometry (PBE, OQMD via LeMat-Bulk).

The energy above the most stable polymorph in this dataset comes out at 0 meV/atom. The theoretical density comes out at 4.9 g cm⁻³.

It has space group C2 (No. 5), with a = 15.075 Å, b = 3.945 Å, c = 7.383 Å, α = 90.00°, β = 105.21° and γ = 90.00°. Symmetry generates all atoms from Nb at (0.000, 0.000, 0.205), I at (0.132, 0.960, 0.570), Br at (0.146, 0.965, 0.079) and O at (0.000, 0.469, 0.211).



# Nb3SeI3Br4

Crystalline Nb3SeI3Br4 at its relaxed geometry (PBE, OQMD via LeMat-Bulk).

The energy above the most stable polymorph in this dataset comes out at 0 meV/atom. The theoretical density comes out at 5.3 g cm⁻³.

It has space group P3m1 (No. 156), with a = 7.4365 Å, b = 7.4365 Å, c = 6.9425 Å, α = 90.00°, β = 90.00° and γ = 120.00°. Symmetry generates all atoms from Nb at (0.0686, 0.5343, 0.0000), Se at (0.3333, 0.6667, 0.2709), I at (0.3282, 0.1641, 0.2300), Br at (0.1675, 0.3349, 0.7567) and Br at (0.6667, 0.3333, 0.8081).



# Nb3SeIBr6

Crystalline Nb3SeIBr6 at its relaxed geometry (PBE, OQMD via LeMat-Bulk).

The raw total energy comes out at -5.0163 eV/atom. The theoretical density comes out at 5.2 g cm⁻³.

It has space group P3m1 (No. 156), with a = 7.2843 Å, b = 7.2843 Å, c = 6.7327 Å, α = 90.00°, β = 90.00° and γ = 120.00°. Symmetry generates all atoms from Nb at (0.0649, 0.5324, 0.0000), Se at (0.3333, 0.6667, 0.2825), I at (0.6667, 0.3333, 0.7618), Br at (0.1664, 0.3329, 0.7495) and Br at (0.3315, 0.1657, 0.2090).



# Nb3SeI4Br3

Crystalline Nb3SeI4Br3 at its relaxed geometry (PBE, OQMD via LeMat-Bulk).

The energy above the most stable polymorph in this dataset comes out at 0 meV/atom. The theoretical density comes out at 5.3 g cm⁻³.

It has space group P3m1 (No. 156), with a = 7.5230 Å, b = 7.5230 Å, c = 7.0590 Å, α = 90.00°, β = 90.00° and γ = 120.00°. Symmetry generates all atoms from Nb at (0.0719, 0.5359, 0.0000), Se at (0.3333, 0.6667, 0.2679), I at (0.3285, 0.1643, 0.2218), I at (0.6667, 0.3333, 0.7866) and Br at (0.1701, 0.3403, 0.7601).



# NdI2Br

Crystalline NdI2Br at its relaxed geometry (PBE, OQMD via LeMat-Bulk).

The energy above the most stable polymorph in this dataset comes out at 33 meV/atom. The theoretical density comes out at 5.5 g cm⁻³.

It has space group P2_1/m (No. 11), with a = 8.301 Å, b = 4.497 Å, c = 8.546 Å, α = 90.00°, β = 116.21° and γ = 90.00°. Symmetry generates all atoms from Nd at (0.161, 0.250, 0.334), I at (0.124, 0.250, 0.907), I at (0.424, 0.750, 0.293) and Br at (0.180, 0.750, 0.582).



# NdI2Br

Crystalline NdI2Br at its relaxed geometry (PBE, OQMD via LeMat-Bulk).

The energy above the most stable polymorph in this dataset comes out at 0 meV/atom. The theoretical density comes out at 5.2 g cm⁻³.

It has space group Cmcm (No. 63), with a = 4.259 Å, b = 14.417 Å, c = 9.919 Å, α = 90.00°, β = 90.00° and γ = 90.00°. Symmetry generates all atoms from Nd at (0.000, 0.240, 0.250), I at (0.000, 0.145, 0.565) and Br at (0.000, 0.399, 0.750).



# NdIBr2

Crystalline NdIBr2 at its relaxed geometry (PBE, OQMD via LeMat-Bulk).

The raw total energy comes out at -4.1214 eV/atom. The theoretical density comes out at 5.3 g cm⁻³.

It has space group Cmcm (No. 63), with a = 4.211 Å, b = 13.665 Å, c = 9.311 Å, α = 90.00°, β = 90.00° and γ = 90.00°. Symmetry generates all atoms from Nd at (0.000, 0.243, 0.250), I at (0.000, 0.427, 0.750) and Br at (0.000, 0.155, 0.568).



# Nd2I3Br

Crystalline Nd2I3Br at its relaxed geometry (PBE, OQMD via LeMat-Bulk).

The raw total energy comes out at -4.0176 eV/atom. The theoretical density comes out at 5.3 g cm⁻³.

It has space group P3m1 (No. 156), with a = 4.1753 Å, b = 4.1753 Å, c = 31.1545 Å, α = 90.00°, β = 90.00° and γ = 120.00°. Symmetry generates all atoms from Nd at (0.0000, 0.0000, 0.0000), Nd at (0.0000, 0.0000, 0.2531), Nd at (0.3333, 0.6667, 0.5038), Nd at (0.3333, 0.6667, 0.7570), I at (0.0000, 0.0000, 0.4370), I at (0.0000, 0.0000, 0.6907), I at (0.3333, 0.6667, 0.1863), I at (0.6667, 0.3333, 0.0663), I at (0.6667, 0.3333, 0.3199), I at (0.6667, 0.3333, 0.5706), Br at (0.3333, 0.6667, 0.9417) and Br at (0.6667, 0.3333, 0.8153).



# Nd2IBrO2

Crystalline Nd2IBrO2 at its relaxed geometry (PBE, OQMD via LeMat-Bulk).

The raw total energy comes out at -6.5243 eV/atom. The theoretical density comes out at 6.4 g cm⁻³.

It has space group P4mm (No. 99), with a = 4.061 Å, b = 4.061 Å, c = 8.292 Å, α = 90.00°, β = 90.00° and γ = 90.00°. Symmetry generates all atoms from Nd at (0.000, 0.000, 0.000), Nd at (0.500, 0.500, 0.284), I at (0.500, 0.500, 0.775), Br at (0.000, 0.000, 0.468) and O at (0.000, 0.500, 0.140).



# Nd2SbIBr

Crystalline Nd2SbIBr at its relaxed geometry (PBE, OQMD via LeMat-Bulk).

The raw total energy comes out at -4.8060 eV/atom. The theoretical density comes out at 5.5 g cm⁻³.

It has space group P3m1 (No. 156), with a = 4.4190 Å, b = 4.4190 Å, c = 11.0856 Å, α = 90.00°, β = 90.00° and γ = 120.00°. Symmetry generates all atoms from Nd at (0.0000, 0.0000, 0.0000), Nd at (0.3333, 0.6667, 0.6779), Sb at (0.6667, 0.3333, 0.8387), I at (0.3333, 0.6667, 0.1817) and Br at (0.0000, 0.0000, 0.5213).